The following is a PBE-GGA calculation of crystalline Ce3Sb2P at its relaxed geometry, from Alexandria.

a = 4.380 Å, b = 4.380 Å, c = 9.742 Å
α = 102.99°, β = 102.99°, γ = 90.00°
Last column: magnetic moment on the atom in μB.
Fractional positions:
Ce (0.934, 0.936, 0.874)  0.82
Ce (0.278, 0.279, 0.561)  0.67
Ce (0.591, 0.592, 0.187)  0.67
Sb (0.104, 0.106, 0.214)  -0.03
Sb (0.764, 0.765, 0.534)  -0.03
P (0.434, 0.436, 0.874)  -0.04

As for the density of states at the Fermi level: 2.9465 states/eV/atom. As for the space-group type: No. 139. Its volume is 29.54 Å³ per atom. The spin magnetization is 2.39 μB/f.u. For the uncorrected energy, the calculation gives -6.370 eV per atom. For the polymorph energy (0 for the lowest one), the calculation gives 0.37 kcal/mol of atoms.